First-principles (PBE with a Hubbard U) data for crystalline CaCoAuO2 at its relaxed geometry, as listed in Alexandria.

DFT total energy   -3.845 eV per atom

Unit cell a=4.187 b=4.187 c=6.676 alpha=90.00 beta=90.00 gamma=90.00
Space group P4/mmm (No. 123)
Inequivalent atoms, fractional coordinates:
1 Ca 0.000 0.000 0.000
2 Co 0.000 0.000 0.500
3 Au 0.500 0.500 0.500
4 O 0.000 0.500 0.000